## A
In3SbTe2: single point on PBEsol structure, SCAN.

Output
Its crystal system is trigonal.

Lattice parameters (Å, degrees): 4.321 4.321 10.526 90.00 90.00 120.00
Element x y z (fractional)
In: 0.000 0.000 0.000
In: 0.333 0.667 0.656
In: 0.667 0.333 0.344
Sb: 0.000 0.000 0.500
Te: 0.333 0.667 0.169
Te: 0.667 0.333 0.831

---

## B
In3SbTe2: single point on PBEsol structure, SCAN.

Output
Its crystal system is orthorhombic.

Lattice parameters (Å, degrees): 7.467 7.467 7.467 146.30 131.98 59.94
Element x y z (fractional)
In: 0.000 0.000 0.000
In: 0.341 0.341 0.000
In: 0.659 0.659 0.000
Sb: 0.500 0.000 0.500
Te: 0.171 0.671 0.500
Te: 0.829 0.329 0.500

---

Calculated relative energies: A 0.007; B 0.000, given in eV/atom

---

## A
Tl2InSb: single point on PBEsol structure, SCAN.

Output
Its crystal system is monoclinic.

Lattice parameters (Å, degrees): 5.640 5.640 6.352 94.94 94.94 33.33
Element x y z (fractional)
Tl: 0.000 0.000 0.000
Tl: 0.247 0.247 0.745
In: 0.495 0.495 0.497
Sb: 0.747 0.747 0.265

---

## B
Tl2InSb: single point on PBEsol structure, SCAN.

Output
Its crystal system is monoclinic.

Lattice parameters (Å, degrees): 3.201 5.333 6.504 90.00 96.25 90.00
Element x y z (fractional)
Tl: 0.000 0.000 0.000
Tl: 0.305 0.500 0.721
In: 0.614 0.500 0.234
Sb: 0.679 0.000 0.482

---

## C
Tl2InSb: single point on PBEsol structure, SCAN.

Output
Its crystal system is tetragonal.

Lattice parameters (Å, degrees): 5.917 5.917 5.917 132.56 132.56 69.35
Element x y z (fractional)
Tl: 0.250 0.750 0.500
Tl: 0.750 0.250 0.500
In: 0.000 0.000 0.000
Sb: 0.500 0.500 0.000

---

## D
Tl2InSb: single point on PBEsol structure, SCAN.

Output
Its crystal system is tetragonal.

Lattice parameters (Å, degrees): 5.718 5.718 5.718 128.71 128.71 75.47
Element x y z (fractional)
Tl: 0.000 0.000 0.000
Tl: 0.750 0.250 0.500
In: 0.500 0.500 0.000
Sb: 0.250 0.750 0.500

---

Calculated relative energies: A 0.026; B 0.000; C 0.036; D 0.019, given in eV/atom

---

## A
Tl2InSb: single point on PBEsol structure, SCAN.

Output
Its crystal system is tetragonal.

Lattice parameters (Å, degrees): 3.228 3.228 10.554 90.00 90.00 90.00
Element x y z (fractional)
Tl: 0.000 0.000 0.250
Tl: 0.000 0.000 0.750
In: 0.500 0.500 0.000
Sb: 0.500 0.500 0.500

---

## B
Tl2InSb: single point on PBEsol structure, SCAN.

Output
Its crystal system is orthorhombic.

Lattice parameters (Å, degrees): 3.213 5.249 6.527 90.00 90.00 90.00
Element x y z (fractional)
Tl: 0.000 0.000 0.248
Tl: 0.000 0.000 0.752
In: 0.500 0.500 0.500
Sb: 0.500 0.500 0.000

---

Calculated relative energies: A 0.006; B 0.000, given in eV/atom

---

## A
Tl2InSb: single point on PBEsol structure, SCAN.

Output
Its crystal system is tetragonal.

Lattice parameters (Å, degrees): 4.650 4.650 5.094 90.00 90.00 90.00
Element x y z (fractional)
Tl: 0.000 0.500 0.000
Tl: 0.500 0.000 0.000
In: 0.000 0.000 0.500
Sb: 0.500 0.500 0.500

---

## B
Tl2InSb: single point on PBEsol structure, SCAN.

Output
Its crystal system is orthorhombic.

Lattice parameters (Å, degrees): 3.537 4.197 7.462 90.00 90.00 90.00
Element x y z (fractional)
Tl: 0.000 0.000 0.000
Tl: 0.500 0.500 0.276
In: 0.000 0.000 0.527
Sb: 0.500 0.500 0.741

---

## C
Tl2InSb: single point on PBEsol structure, SCAN.

Output
Its crystal system is orthorhombic.

Lattice parameters (Å, degrees): 6.555 6.555 6.555 149.07 129.64 60.28
Element x y z (fractional)
Tl: 0.000 0.000 0.000
Tl: 0.730 0.230 0.500
In: 0.253 0.753 0.500
Sb: 0.479 0.479 0.000

---

Calculated relative energies: A 0.028; B 0.000; C 0.037, given in eV/atom

---

## A
InSbW2: single point on PBEsol structure, SCAN.

Output
Its crystal system is orthorhombic.

Lattice parameters (Å, degrees): 2.915 2.915 10.099 90.00 90.00 111.66
Element x y z (fractional)
In: 0.000 0.000 0.000
Sb: 0.500 0.500 0.678
W: 0.000 0.000 0.442
W: 0.500 0.500 0.243

---

## B
InSbW2: single point on PBEsol structure, SCAN.

Output
Its crystal system is monoclinic.

Lattice parameters (Å, degrees): 2.919 4.556 5.653 90.00 94.55 90.00
Element x y z (fractional)
In: 0.000 0.000 0.000
Sb: 0.500 0.000 0.500
W: 0.345 0.500 0.778
W: 0.655 0.500 0.222

---

Calculated relative energies: A 0.000; B 0.344, given in eV/atom

---

## A
InSbW2: single point on PBEsol structure, SCAN.

Output
Its crystal system is tetragonal.

Lattice parameters (Å, degrees): 4.637 4.637 3.294 90.00 90.00 90.00
Element x y z (fractional)
In: 0.000 0.000 0.000
Sb: 0.500 0.500 0.000
W: 0.000 0.500 0.500
W: 0.500 0.000 0.500

---

## B
InSbW2: single point on PBEsol structure, SCAN.

Output
Its crystal system is trigonal.

Lattice parameters (Å, degrees): 9.216 9.216 9.216 18.98 18.98 18.98
Element x y z (fractional)
In: 0.000 0.000 0.000
Sb: 0.500 0.500 0.500
W: 0.247 0.247 0.247
W: 0.753 0.753 0.753

---

Calculated relative energies: A 0.135; B 0.000, given in eV/atom

---

## A
Sc5In: single point on PBEsol structure, SCAN.

Output
Its crystal system is orthorhombic.

Lattice parameters (Å, degrees): 5.011 8.475 8.475 22.35 90.00 90.00
Element x y z (fractional)
Sc: 0.000 0.000 0.000
Sc: 0.000 0.325 0.325
Sc: 0.000 0.661 0.661
Sc: 0.500 0.212 0.212
Sc: 0.500 0.879 0.879
In: 0.500 0.550 0.550

---

## B
Sc5In: single point on PBEsol structure, SCAN.

Output
Its crystal system is monoclinic.

Lattice parameters (Å, degrees): 6.027 6.027 7.505 103.72 103.72 31.14
Element x y z (fractional)
Sc: 0.000 0.000 0.000
Sc: 0.042 0.042 0.613
Sc: 0.392 0.392 0.275
Sc: 0.667 0.667 0.342
Sc: 0.720 0.720 0.941
In: 0.325 0.325 0.663

---

Calculated relative energies: A 0.019; B 0.000, given in eV/atom

---

## A
ScInTc2: single point on PBEsol structure, SCAN.

Output
Its crystal system is tetragonal.

Lattice parameters (Å, degrees): 3.366 3.366 5.859 90.00 90.00 90.00
Element x y z (fractional)
Sc: 0.000 0.000 0.000
In: 0.000 0.000 0.500
Tc: 0.500 0.500 0.238
Tc: 0.500 0.500 0.762

---

## B
ScInTc2: single point on PBEsol structure, SCAN.

Output
Its crystal system is orthorhombic.

Lattice parameters (Å, degrees): 2.835 2.835 8.803 90.00 90.00 109.72
Element x y z (fractional)
Sc: 0.000 0.000 0.000
In: 0.000 0.000 0.500
Tc: 0.500 0.500 0.247
Tc: 0.500 0.500 0.753

---

Calculated relative energies: A 0.000; B 0.053, given in eV/atom

---

## A
ScInTc2: single point on PBEsol structure, SCAN.

Output
Its crystal system is orthorhombic.

Lattice parameters (Å, degrees): 3.004 4.083 5.672 90.00 90.00 90.00
Element x y z (fractional)
Sc: 0.000 0.000 0.000
In: 0.000 0.000 0.500
Tc: 0.500 0.500 0.206
Tc: 0.500 0.500 0.794

---

## B
ScInTc2: single point on PBEsol structure, SCAN.

Output
Its crystal system is tetragonal.

Lattice parameters (Å, degrees): 2.978 2.978 7.858 90.00 90.00 90.00
Element x y z (fractional)
Sc: 0.000 0.000 0.000
In: 0.500 0.500 0.690
Tc: 0.000 0.000 0.426
Tc: 0.500 0.500 0.249

---

Calculated relative energies: A 0.367; B 0.000, given in eV/atom

---

## A
Sc2TlIn: single point on PBEsol structure, SCAN.

Output
Its crystal system is orthorhombic.

Lattice parameters (Å, degrees): 3.212 4.251 6.368 90.00 90.00 90.00
Element x y z (fractional)
Sc: 0.000 0.000 0.249
Sc: 0.000 0.000 0.751
Tl: 0.500 0.500 0.500
In: 0.500 0.500 0.000

---

## B
Sc2TlIn: single point on PBEsol structure, SCAN.

Output
Its crystal system is orthorhombic.

Lattice parameters (Å, degrees): 5.995 5.995 5.995 144.59 133.51 59.77
Element x y z (fractional)
Sc: 0.000 0.000 0.000
Sc: 0.747 0.247 0.500
Tl: 0.254 0.754 0.500
In: 0.490 0.490 0.000

---

Calculated relative energies: A 0.000; B 0.083, given in eV/atom

---

## A
Sc2TlIn: single point on PBEsol structure, SCAN.

Output
Its crystal system is tetragonal.

Lattice parameters (Å, degrees): 5.302 5.302 5.302 129.29 129.29 74.54
Element x y z (fractional)
Sc: 0.250 0.750 0.500
Sc: 0.750 0.250 0.500
Tl: 0.000 0.000 0.000
In: 0.500 0.500 0.000

---

## B
Sc2TlIn: single point on PBEsol structure, SCAN.

Output
Its crystal system is cubic.

Lattice parameters (Å, degrees): 4.983 4.983 4.983 60.00 60.00 60.00
Element x y z (fractional)
Sc: 0.250 0.250 0.250
Sc: 0.750 0.750 0.750
Tl: 0.000 0.000 0.000
In: 0.500 0.500 0.500

---

## C
Sc2TlIn: single point on PBEsol structure, SCAN.

Output
Its crystal system is tetragonal.

Lattice parameters (Å, degrees): 5.859 5.859 5.859 137.84 137.84 61.14
Element x y z (fractional)
Sc: 0.000 0.000 0.000
Sc: 0.750 0.250 0.500
Tl: 0.500 0.500 0.000
In: 0.250 0.750 0.500

---

Calculated relative energies: A 0.000; B 0.023; C 0.094, given in eV/atom

---

## A
In2SiSe: single point on PBEsol structure, SCAN.

Output
Its crystal system is cubic.

Lattice parameters (Å, degrees): 4.978 4.978 4.978 60.00 60.00 60.00
Element x y z (fractional)
In: 0.000 0.000 0.000
In: 0.250 0.250 0.250
Si: 0.500 0.500 0.500
Se: 0.750 0.750 0.750

---

## B
In2SiSe: single point on PBEsol structure, SCAN.

Output
Its crystal system is tetragonal.

Lattice parameters (Å, degrees): 6.052 6.052 6.052 140.56 140.56 57.01
Element x y z (fractional)
In: 0.000 0.000 0.000
In: 0.750 0.250 0.500
Si: 0.250 0.750 0.500
Se: 0.500 0.500 0.000

---

## C
In2SiSe: single point on PBEsol structure, SCAN.

Output
Its crystal system is orthorhombic.

Lattice parameters (Å, degrees): 6.853 6.853 6.853 149.65 145.06 46.94
Element x y z (fractional)
In: 0.185 0.185 0.000
In: 0.815 0.815 0.000
Si: 0.000 0.500 0.500
Se: 0.500 0.000 0.500

---

Calculated relative energies: A 0.253; B 0.138; C 0.000, given in eV/atom